Below is a PBEsol-optimized structure of NbMoRh3, with properties calculated at the meta-GGA SCAN level.

The structure in CIF format:
```
data_NbMoRh3
_space_group_name_H-M_alt 'P m -3 m'
_space_group_IT_number 221
_space_group_name_Hall '-P 4 2 3'
_cell_length_a 4.548
_cell_length_b 4.548
_cell_length_c 4.548
_cell_angle_alpha 90.00
_cell_angle_beta 90.00
_cell_angle_gamma 90.00
loop_
_atom_site_label
_atom_site_type_symbol
_atom_site_fract_x
_atom_site_fract_y
_atom_site_fract_z
Nb1 Nb 0.000 0.000 0.000
Mo1 Mo 0.500 0.500 0.500
Rh1 Rh 0.000 0.500 0.500
```

Values from the calculation:
Calculated formation energy, kJ/mol of atoms: 114.3
D(E_F), states/eV per cell: 5.29
VASP energy, eV per cell: -163.41
Size of the total moment, μB/f.u.: 2.17



Below is a PBEsol-optimized structure of YReAg2, with properties calculated at the meta-GGA SCAN level.

The structure in CIF format:
```
data_YReAg2
_space_group_name_H-M_alt 'P m m 2'
_space_group_IT_number 25
_cell_length_a 2.825
_cell_length_b 4.249
_cell_length_c 6.013
_cell_angle_alpha 90.00
_cell_angle_beta 90.00
_cell_angle_gamma 90.00
loop_
_space_group_symop_operation_xyz
'x,y,z'
'-x,-y,z'
'-x,y,z'
'x,-y,z'
loop_
_atom_site_label
_atom_site_type_symbol
_atom_site_fract_x
_atom_site_fract_y
_atom_site_fract_z
Y1 Y 0.000 0.000 0.000
Re1 Re 0.500 0.500 0.746
Ag1 Ag 0.000 0.000 0.510
Ag2 Ag 0.500 0.500 0.283
```

Values from the calculation:
Calculated formation energy, kJ/mol of atoms: 38.5
D(E_F), states/eV per cell: 3.09
VASP energy, eV per cell: -160.08
Size of the total moment, μB/f.u.: 0.00



Repeat the second record exactly.
Below is a PBEsol-optimized structure of YReAg2, with properties calculated at the meta-GGA SCAN level.

The structure in CIF format:
```
data_YReAg2
_space_group_name_H-M_alt 'P m m 2'
_space_group_IT_number 25
_cell_length_a 2.825
_cell_length_b 4.249
_cell_length_c 6.013
_cell_angle_alpha 90.00
_cell_angle_beta 90.00
_cell_angle_gamma 90.00
loop_
_space_group_symop_operation_xyz
'x,y,z'
'-x,-y,z'
'-x,y,z'
'x,-y,z'
loop_
_atom_site_label
_atom_site_type_symbol
_atom_site_fract_x
_atom_site_fract_y
_atom_site_fract_z
Y1 Y 0.000 0.000 0.000
Re1 Re 0.500 0.500 0.746
Ag1 Ag 0.000 0.000 0.510
Ag2 Ag 0.500 0.500 0.283
```

Values from the calculation:
Calculated formation energy, kJ/mol of atoms: 38.5
D(E_F), states/eV per cell: 3.09
VASP energy, eV per cell: -160.08
Size of the total moment, μB/f.u.: 0.00



Q: The highest calculated formation energy belongs to which entry?
A: NbMoRh3